Record 1
Compound: NaCuHg2F6
Source: Alexandria
Functional: PBE
Structure: optimized geometry

Computed properties:
Energy relative to the elements, uncorrected in eV/atom: -1.61

The structure in POSCAR format:
```
NaCuHg2F6
1.0
6.0096 -0.2466 -0.1930
-3.2211 5.2189 0.2500
-3.0774 -1.4505 4.9296
F Cu Hg Na
6 1 2 1
direct
0.0398 0.8738 0.3221
0.0658 0.4089 0.1618
0.7674 0.5870 0.6391
0.0196 0.1642 0.6850
0.5359 0.8337 0.8350
0.4611 0.1190 0.1484
0.0064 0.9979 0.9899
0.5075 0.2211 0.7673
0.5600 0.7743 0.2676
0.0020 0.4978 0.4863
```

---

Record 2
Compound: NaCu2HgF6
Source: Alexandria
Functional: PBE
Structure: optimized geometry

Computed properties:
Energy relative to the elements, uncorrected in eV/atom: -1.65

The structure in POSCAR format:
```
NaCu2HgF6
1.0
-3.8332 -2.6618 3.2861
5.5534 -1.1987 0.5739
1.2497 5.5076 0.9491
Cu F Na Hg
2 6 1 1
direct
0.6005 0.7993 0.3916
0.5944 0.2944 0.8740
0.0666 0.4312 0.1313
0.7144 0.5609 0.6502
0.7308 0.6783 0.1809
0.1393 0.1798 0.6811
0.5271 0.0689 0.1575
0.5021 0.9258 0.6316
0.0358 0.5166 0.5415
0.0546 0.0225 0.0629
```

---

Record 3
Compound: NaCu2HgF8
Source: Alexandria
Functional: PBE
Structure: optimized geometry

Computed properties:
Energy relative to the elements, uncorrected in eV/atom: -1.61

The structure in POSCAR format:
```
NaCu2HgF8
1.0
5.5643 0.0000 0.0000
0.0000 5.5643 0.0000
-2.7822 -2.7821 5.1311
Na F Cu Hg
1 8 2 1
direct
0.7500 0.2500 0.5000
0.9676 0.8896 0.5353
0.1731 0.6187 0.9562
0.7831 0.3374 0.9562
0.1104 0.4324 0.4647
0.6626 0.8269 0.0438
0.5676 0.6456 0.5353
0.3813 0.2169 0.0438
0.3544 0.0324 0.4647
0.2500 0.7500 0.5000
0.5000 0.5000 0.0000
0.0000 0.0000 0.0000
```

---

Number 1: D(E_F) 3.54 states/eV/f.u., calculated density 6.70 g cm⁻³, spin magnetization 0.47 μB per cell. Number 2: D(E_F) 2.53 states/eV/f.u., calculated density 5.76 g cm⁻³, spin magnetization 1.21 μB per cell. Number 3: D(E_F) 3.95 states/eV/f.u., calculated density 5.25 g cm⁻³, spin magnetization 1.03 μB per cell.